No. 1
VASP calculation (GGA-PBE) on a relaxed NdCuIr crystal.

Structure (POSCAR):
```
NdCuIr
1.0
5.010 0.002 0.001
2.507 5.270 0.084
2.507 1.250 5.120
Cu Nd Ir
2 2 2
Direct
0.211 0.908 0.315 Cu
0.711 0.628 0.595 Cu
0.461 0.268 0.455 Nd
0.961 0.768 0.955 Nd
0.461 0.268 0.955 Ir
0.961 0.268 0.955 Ir
```

## Properties
**Excess energy over the best structure of this formula in the dataset**: 248.8 meV per atom
**Crystal system**: orthorhombic
**Calculated formation energy**: -208 meV per atom
**Symmetry**: Imma, No. 74

No. 2
VASP calculation (GGA-PBE) on a relaxed SrO2F crystal.

Structure (POSCAR):
```
SrO2F
1.0
-2.426 1.372 -1.964
1.402 -1.453 -2.748
-6.010 -7.860 -1.027
F O Sr
2 4 2
Direct
0.250 0.750 0.500 F
0.500 0.500 0.000 F
0.375 0.538 0.750 O
0.875 0.712 0.750 O
0.288 0.625 0.250 O
0.462 0.125 0.250 O
0.000 0.000 0.000 Sr
0.750 0.250 0.500 Sr
```

## Properties
**Excess energy over the best structure of this formula in the dataset**: 551.0 meV per atom
**Crystal system**: tetragonal
**Symmetry**: I-42d, No. 122
**Formation energy from raw total energies**: -6.03 eV/f.u.

No. 3
VASP calculation (GGA-PBE) on a relaxed CaLa2Nd3Sm6 crystal.

Structure (POSCAR):
```
CaLa2Nd3Sm6
1.0
6.380 -0.002 0.005
-3.190 5.525 0.005
-1.080 -1.870 11.992
Sm La Ca Nd
6 2 1 3
Direct
0.422 0.085 0.254 Sm
0.915 0.578 0.746 Sm
0.578 0.915 0.746 Sm
0.252 0.252 0.746 Sm
0.085 0.422 0.254 Sm
0.748 0.748 0.254 Sm
0.333 0.667 0.000 La
0.667 0.333 0.000 La
0.000 0.000 0.000 Ca
0.834 0.166 0.500 Nd
0.166 0.834 0.500 Nd
0.500 0.500 0.500 Nd
```

## Properties
**Crystal system**: monoclinic
**Calculated formation energy**: 37 meV per atom
**Symmetry**: C2/m, No. 12

No. 4
VASP calculation (GGA-PBE) on a relaxed Cd2TcP crystal.

Structure (POSCAR):
```
Cd2TcP
1.0
-0.577 2.599 -1.147
-1.543 -0.662 2.363
7.386 4.301 6.028
Tc Cd P
1 2 1
Direct
0.500 0.500 0.274 Tc
0.000 0.000 0.038 Cd
0.500 0.500 0.755 Cd
0.000 0.000 0.432 P
```

## Properties
**Crystal system**: orthorhombic
**Calculated formation energy**: 148 meV per atom
**Symmetry**: Cmm2, No. 35

No. 5
VASP calculation (GGA-PBE) on a relaxed Tl2HgW crystal.

Structure (POSCAR):
```
Tl2HgW
1.0
-1.863 -1.253 1.928
-0.729 -2.031 -2.025
8.136 -6.527 3.617
Tl Hg W
2 1 1
Direct
0.000 0.000 0.973 Tl
0.500 0.500 0.294 Tl
0.500 0.500 0.714 Hg
0.000 0.000 0.519 W
```

## Properties
**Excess energy over the best structure of this formula in the dataset**: 0.0 meV per atom
**Crystal system**: tetragonal
**Calculated formation energy**: 716 meV per atom
**Symmetry**: P4mm, No. 99

No. 6
VASP calculation (GGA-PBE) on a relaxed PmGa4CoRh2 crystal.

Structure (POSCAR):
```
PmGa4CoRh2
1.0
4.200 0.000 0.000
2.100 3.637 0.000
2.100 1.212 8.678
Rh Ga Co Pm
2 4 1 1
Direct
0.233 0.233 0.301 Rh
0.767 0.767 0.699 Rh
0.403 0.403 0.790 Ga
0.134 0.134 0.598 Ga
0.866 0.866 0.402 Ga
0.597 0.597 0.210 Ga
0.500 0.500 0.500 Co
0.000 0.000 0.000 Pm
```

## Properties
**Crystal system**: trigonal
**Calculated formation energy**: -604 meV per atom
**Symmetry**: R-3m, No. 166

No. 7
VASP calculation (GGA-PBE) on a relaxed MoRuRh crystal.

Structure (POSCAR):
```
MoRuRh
1.0
-2.502 3.812 1.414
-4.770 -0.041 -0.178
3.950 -2.049 1.729
Ru Rh Mo
1 1 1
Direct
0.666 0.666 0.000 Ru
0.332 0.332 0.000 Rh
0.002 0.002 0.000 Mo
```

## Properties
**Excess energy over the best structure of this formula in the dataset**: 87.3 meV per atom
**Crystal system**: orthorhombic
**Calculated formation energy**: -23 meV per atom
**Symmetry**: Imm2, No. 44

No. 8
VASP calculation (GGA-PBE) on a relaxed CuSi2MoPb crystal.

Structure (POSCAR):
```
CuSi2MoPb
1.0
-1.999 -4.204 -0.814
4.383 -1.822 -1.353
0.852 -1.271 4.471
Si Mo Pb Cu
2 1 1 1
Direct
0.500 0.000 0.000 Si
0.000 0.000 0.500 Si
0.000 0.000 0.000 Mo
0.500 0.500 0.500 Pb
0.000 0.500 0.000 Cu
```

## Properties
**Crystal system**: tetragonal
**Symmetry**: P4/mmm, No. 123
**Formation energy from raw total energies**: 3.01 eV/f.u.

Values of density of states at the Fermi level, in order: 0.701; 0.220; 1.544; 0.411; 0.548; 0.383; 1.242; 0.362, all in states/eV/atom.
Values of energy, in order: -6.1166; -4.8761; -4.5025; -4.2532; -3.7810; -5.4373; -9.1755; -5.2947, all in eV/atom.